*P*
FeCu2Cl: single point on PBEsol structure, SCAN.

Geometry as extended XYZ:
```
4
Lattice="2.759 0.000 0.000 0.000 3.907 0.000 -1.380 -1.954 5.095" Properties=species:S:1:pos:R:3 pbc="T T T"
Cu 0.000 0.000 2.844
Cl 1.380 0.000 0.000
Cu 1.380 1.954 2.251
Fe 0.000 1.954 0.000
```

Values from the calculation:
**Magnetic moment**: 0.818 μB per atom
**Calculated density**: 6.60 Mg/m³

*Q*
FeCu2Cl: single point on PBEsol structure, SCAN.

Geometry as extended XYZ:
```
4
Lattice="-2.040 -1.096 1.497 -0.023 -3.032 -2.252 4.836 -0.450 3.723" Properties=species:S:1:pos:R:3 pbc="T T T"
Cu 0.327 -0.216 0.288
Cl 1.337 -2.106 2.821
Cu 1.285 -2.372 0.014
Fe 3.627 -2.397 3.190
```

Values from the calculation:
**Magnetic moment**: 0.786 μB per atom
**Calculated density**: 6.16 Mg/m³

Short version: *P* is the least stable of them.

*P*
FeCuCl: single point on PBEsol structure, SCAN.

Geometry as extended XYZ:
```
3
Lattice="2.892 0.013 0.000 -1.299 2.583 0.000 -0.796 -1.298 5.721" Properties=species:S:1:pos:R:3 pbc="T T T"
Fe 0.000 0.000 3.831
Cl 0.796 1.298 5.648
Cu 0.796 1.298 1.963
```

Values from the calculation:
**Magnetic moment**: 1.083 μB per atom
**Calculated density**: 6.00 Mg/m³

*Q*
FeCuCl: single point on PBEsol structure, SCAN.

Geometry as extended XYZ:
```
3
Lattice="-1.496 2.255 -0.833 -2.029 -0.659 1.861 4.276 2.285 3.317" Properties=species:S:1:pos:R:3 pbc="T T T"
Fe 1.689 2.072 2.574
Cu -0.787 1.995 2.001
Cl 0.599 3.696 4.115
```

Values from the calculation:
**Magnetic moment**: 1.124 μB per atom
**Calculated density**: 5.81 Mg/m³

Short version: *Q* is the least stable of them.

*P*
FeCuCl2: single point on PBEsol structure, SCAN.

Geometry as extended XYZ:
```
4
Lattice="-0.699 2.482 1.801 -2.239 0.537 -2.143 -4.281 -3.764 3.528" Properties=species:S:1:pos:R:3 pbc="T T T"
Cu -2.082 -1.830 1.715
Fe -2.681 0.444 0.828
Cl -0.357 -0.314 0.294
Cl -4.239 -0.926 2.112
```

Values from the calculation:
**Magnetic moment**: 0.774 μB per atom
**Calculated density**: 4.79 Mg/m³

*Q*
FeCuCl2: single point on PBEsol structure, SCAN.

Geometry as extended XYZ:
```
4
Lattice="-3.311 1.725 2.231 -2.826 -2.593 2.050 -0.025 -0.185 4.345" Properties=species:S:1:pos:R:3 pbc="T T T"
Fe -3.081 -0.527 4.313
Cl -1.540 -0.263 2.157
Cu 0.000 0.000 0.000
Cl -4.621 -0.790 6.470
```

Values from the calculation:
**Magnetic moment**: 0.751 μB per atom
**Calculated density**: 5.43 Mg/m³

*R*
FeCuCl2: single point on PBEsol structure, SCAN.

Geometry as extended XYZ:
```
4
Lattice="4.489 0.000 0.000 2.245 3.888 0.000 2.245 1.296 3.666" Properties=species:S:1:pos:R:3 pbc="T T T"
Fe 2.245 1.296 0.916
Cl 6.734 3.888 2.749
Cl 0.000 0.000 0.000
Cu 4.489 2.592 1.833
```

Values from the calculation:
**Magnetic moment**: 0.814 μB per atom
**Calculated density**: 4.94 Mg/m³

Short version: *R* is the least stable of them.

*P*
Cu2HgCl: single point on PBEsol structure, SCAN.

Geometry as extended XYZ:
```
4
Lattice="-2.655 1.706 -0.837 -1.335 -2.698 -1.265 -2.556 -1.297 5.461" Properties=species:S:1:pos:R:3 pbc="T T T"
Cl -3.273 -1.144 1.679
Cu -0.562 -0.285 1.200
Cu -1.994 -1.012 4.261
Hg -1.995 -0.496 -1.051
```

Values from the calculation:
**Magnetic moment**: 0.000 μB per atom
**Calculated density**: 9.17 Mg/m³

*Q*
Cu2HgCl: single point on PBEsol structure, SCAN.

Geometry as extended XYZ:
```
4
Lattice="-1.654 2.585 -0.129 -0.083 -2.003 -2.492 -6.109 -3.749 3.216" Properties=species:S:1:pos:R:3 pbc="T T T"
Cl -0.827 1.293 -0.064
Cu -4.689 -2.877 2.469
Cu -1.420 -0.872 0.748
Hg -3.882 -0.582 1.544
```

Values from the calculation:
**Magnetic moment**: 0.000 μB per atom
**Calculated density**: 8.91 Mg/m³

*R*
Cu2HgCl: single point on PBEsol structure, SCAN.

Geometry as extended XYZ:
```
4
Lattice="2.950 0.000 0.000 1.475 5.000 0.108 1.475 1.431 4.792" Properties=species:S:1:pos:R:3 pbc="T T T"
Hg 1.475 0.000 0.000
Cu 2.950 1.718 1.309
Cu 2.950 4.713 3.591
Cl 1.475 3.215 2.450
```

Values from the calculation:
**Magnetic moment**: 0.000 μB per atom
**Calculated density**: 8.59 Mg/m³

Short version: *P* is the least stable of them.

*P*
CuHgCl: single point on PBEsol structure, SCAN.

Geometry as extended XYZ:
```
3
Lattice="3.475 0.000 0.000 -1.737 3.009 0.000 0.000 0.000 5.604" Properties=species:S:1:pos:R:3 pbc="T T T"
Cu 0.000 2.006 3.912
Cl 0.000 0.000 5.149
Hg 1.737 1.003 2.148
```

Values from the calculation:
**Magnetic moment**: 0.000 μB per atom
**Calculated density**: 8.49 Mg/m³

*Q*
CuHgCl: single point on PBEsol structure, SCAN.

Geometry as extended XYZ:
```
3
Lattice="-3.047 -0.301 0.522 0.593 -1.015 2.875 1.026 6.084 0.258" Properties=species:S:1:pos:R:3 pbc="T T T"
Cu -1.289 0.993 2.294
Cl -0.016 0.444 0.160
Hg -0.124 3.330 1.201
```

Values from the calculation:
**Magnetic moment**: 0.000 μB per atom
**Calculated density**: 8.93 Mg/m³

Short version: *Q* is the least stable of them.

*P*
CuIrCl2: single point on PBEsol structure, SCAN.

Geometry as extended XYZ:
```
4
Lattice="2.958 0.000 0.000 0.000 2.958 0.000 0.000 0.000 6.926" Properties=species:S:1:pos:R:3 pbc="T T T"
Ir 1.479 1.479 3.463
Cl 0.000 0.000 1.593
Cl 0.000 0.000 5.332
Cu 1.479 1.479 0.000
```

Values from the calculation:
**Magnetic moment**: 0.477 μB per atom
**Calculated density**: 8.95 Mg/m³

*Q*
CuIrCl2: single point on PBEsol structure, SCAN.

Geometry as extended XYZ:
```
4
Lattice="2.663 0.000 0.000 0.000 4.275 -0.275 -1.331 -1.705 7.365" Properties=species:S:1:pos:R:3 pbc="T T T"
Cl 0.000 0.141 2.256
Cu 1.331 2.137 -0.138
Ir 0.000 0.000 0.000
Cl 1.331 2.428 4.834
```

Values from the calculation:
**Magnetic moment**: 0.000 μB per atom
**Calculated density**: 6.57 Mg/m³

Short version: *P* is the least stable of them.

*P*
CuIrCl2: single point on PBEsol structure, SCAN.

Geometry as extended XYZ:
```
4
Lattice="3.411 0.000 0.000 1.705 2.954 0.000 1.705 0.985 6.978" Properties=species:S:1:pos:R:3 pbc="T T T"
Cu 3.411 1.969 3.391
Cl 5.116 2.954 4.723
Cl 5.116 2.954 0.590
Ir 1.705 0.985 1.763
```

Values from the calculation:
**Magnetic moment**: 0.000 μB per atom
**Calculated density**: 7.72 Mg/m³

*Q*
CuIrCl2: single point on PBEsol structure, SCAN.

Geometry as extended XYZ:
```
4
Lattice="3.210 0.000 0.000 0.000 3.566 0.010 0.000 -1.239 6.674" Properties=species:S:1:pos:R:3 pbc="T T T"
Cu 0.000 1.068 3.702
Cl 0.000 -0.600 6.185
Ir 1.605 -0.711 4.545
Cl 1.605 2.495 2.268
```

Values from the calculation:
**Magnetic moment**: 0.000 μB per atom
**Calculated density**: 7.10 Mg/m³

*R*
CuIrCl2: single point on PBEsol structure, SCAN.

Geometry as extended XYZ:
```
4
Lattice="3.044 0.000 0.000 0.000 3.461 0.000 -1.522 -1.731 6.789" Properties=species:S:1:pos:R:3 pbc="T T T"
Cu 1.522 1.731 0.711
Cl 1.522 0.000 3.470
Ir 0.000 1.731 2.796
Cl 1.522 1.731 6.602
```

Values from the calculation:
**Magnetic moment**: 0.000 μB per atom
**Calculated density**: 7.58 Mg/m³

Short version: *R* is the least stable of them.

*P*
Cu2IrCl: single point on PBEsol structure, SCAN.

Geometry as extended XYZ:
```
4
Lattice="2.728 0.000 0.000 -1.364 2.436 0.000 0.000 0.000 8.225" Properties=species:S:1:pos:R:3 pbc="T T T"
Ir 0.000 0.000 4.076
Cu 0.000 0.000 0.010
Cl 1.364 0.000 6.265
Cu 1.364 0.000 1.987
```

Values from the calculation:
**Magnetic moment**: 0.000 μB per atom
**Calculated density**: 10.78 Mg/m³

*Q*
Cu2IrCl: single point on PBEsol structure, SCAN.

Geometry as extended XYZ:
```
4
Lattice="-1.369 2.268 2.567 -3.423 -0.791 -1.126 2.244 -3.750 1.859" Properties=species:S:1:pos:R:3 pbc="T T T"
Cl -1.787 -1.902 0.727
Cu -0.760 -0.372 2.574
Cu 0.000 0.000 0.000
Ir -2.396 0.738 0.721
```

Values from the calculation:
**Magnetic moment**: 0.001 μB per atom
**Calculated density**: 10.91 Mg/m³

Short version: *Q* is the least stable of them.

*P*
La2CuCl: single point on PBEsol structure, SCAN.

Geometry as extended XYZ:
```
4
Lattice="3.343 0.000 0.000 0.000 4.937 0.000 0.000 0.000 5.554" Properties=species:S:1:pos:R:3 pbc="T T T"
La 0.000 0.000 0.000
La 0.000 2.468 2.777
Cu 1.672 0.000 2.777
Cl 1.672 2.468 0.000
```

Values from the calculation:
**Magnetic moment**: 0.000 μB per atom
**Calculated density**: 6.83 Mg/m³

*Q*
La2CuCl: single point on PBEsol structure, SCAN.

Geometry as extended XYZ:
```
4
Lattice="-2.267 -2.044 2.735 2.977 -2.790 0.383 2.444 3.216 4.428" Properties=species:S:1:pos:R:3 pbc="T T T"
La -0.494 -3.182 2.583
Cl -0.849 -0.765 1.024
Cu 0.725 -1.577 4.802
La 0.371 0.841 3.240
```

Values from the calculation:
**Magnetic moment**: 0.000 μB per atom
**Calculated density**: 6.22 Mg/m³

*R*
La2CuCl: single point on PBEsol structure, SCAN.

Geometry as extended XYZ:
```
4
Lattice="-2.625 1.448 2.110 1.523 -2.403 3.544 4.819 3.577 0.355" Properties=species:S:1:pos:R:3 pbc="T T T"
La 1.209 1.681 3.534
Cl 4.211 3.030 3.159
Cu 1.800 2.208 0.724
La 0.004 0.005 0.002
```

Values from the calculation:
**Magnetic moment**: 0.000 μB per atom
**Calculated density**: 6.56 Mg/m³

*S*
La2CuCl: single point on PBEsol structure, SCAN.

Geometry as extended XYZ:
```
4
Lattice="4.235 0.000 0.000 2.117 3.667 0.000 2.117 1.222 6.593" Properties=species:S:1:pos:R:3 pbc="T T T"
La 2.117 1.222 1.668
La 6.352 3.667 4.925
Cu 6.352 3.667 0.000
Cl 4.235 2.445 3.297
```

Values from the calculation:
**Magnetic moment**: 0.000 μB per atom
**Calculated density**: 6.11 Mg/m³

Short version: *P* is the least stable of them.

*P*
LaNb2CuClO7: single point on PBEsol structure, SCAN.

Geometry as extended XYZ:
```
48
Lattice="7.790 0.000 0.000 0.000 7.815 0.000 0.000 0.000 11.698" Properties=species:S:1:pos:R:3 pbc="T T T"
Cl 0.656 6.036 5.849
O 6.096 3.895 7.684
O 1.946 1.955 9.930
Nb 5.863 3.906 9.470
Cu 1.779 3.974 5.849
O 6.096 3.895 4.014
Cu 5.674 7.749 5.849
Cl 7.134 1.779 5.849
O 1.949 5.863 1.768
O 6.205 7.813 0.000
Cl 4.552 5.687 5.849
O 5.841 1.952 1.768
O 0.000 3.908 1.551
Nb 5.822 7.813 9.470
La 3.896 5.769 0.000
O 2.310 3.910 0.000
O 0.000 0.000 2.125
La 3.894 2.047 0.000
O 5.589 7.802 7.684
O 3.895 0.000 1.551
Cu 6.012 3.842 5.849
Nb 1.927 3.909 9.470
Nb 5.863 3.906 2.228
Cl 3.239 2.128 5.849
O 1.694 3.920 7.684
La 7.789 1.861 0.000
La 0.001 5.954 0.000
Nb 5.822 7.813 2.228
O 5.480 3.905 0.000
O 1.946 1.955 1.768
O 0.000 3.908 10.147
O 1.694 3.920 4.014
Cu 2.117 0.066 5.849
O 1.949 5.863 9.930
O 3.895 0.000 10.147
O 2.201 0.013 7.684
O 3.895 3.908 2.125
O 3.895 3.908 9.573
O 5.844 5.860 1.768
O 5.844 5.860 9.930
O 5.589 7.802 4.014
O 0.000 0.000 9.573
O 5.841 1.952 9.930
Nb 1.927 3.909 2.228
O 2.201 0.013 4.014
O 1.585 0.002 0.000
Nb 1.968 0.002 2.228
Nb 1.968 0.002 9.470
```

Values from the calculation:
**Magnetic moment**: 0.083 μB per atom
**Calculated density**: 5.00 Mg/m³

*Q*
LaNb2CuClO7: single point on PBEsol structure, SCAN.

Geometry as extended XYZ:
```
12
Lattice="3.875 0.000 0.000 0.000 3.875 0.000 0.000 0.000 11.708" Properties=species:S:1:pos:R:3 pbc="T T T"
Nb 1.937 1.937 2.251
O 1.937 1.937 7.655
Cu 1.937 1.937 5.854
O 1.937 1.937 4.054
O 0.000 1.937 1.793
O 1.937 1.937 0.000
O 1.937 0.000 9.915
Nb 1.937 1.937 9.457
O 1.937 0.000 1.793
O 0.000 1.937 9.915
Cl 0.000 0.000 5.854
La 0.000 0.000 0.000
```

Values from the calculation:
**Magnetic moment**: 0.083 μB per atom
**Calculated density**: 5.06 Mg/m³

Short version: *Q* is the least stable of them.

*P*
MgCuCl2: single point on PBEsol structure, SCAN.

Geometry as extended XYZ:
```
4
Lattice="-2.175 -1.982 1.559 3.296 -2.968 0.826 0.898 2.083 3.900" Properties=species:S:1:pos:R:3 pbc="T T T"
Cu 1.010 -1.433 3.143
Mg -1.087 -0.991 0.779
Cl 0.449 1.041 1.950
Cl 1.648 -1.484 0.413
```

Values from the calculation:
**Magnetic moment**: 0.000 μB per atom
**Calculated density**: 3.89 Mg/m³

*Q*
MgCuCl2: single point on PBEsol structure, SCAN.

Geometry as extended XYZ:
```
4
Lattice="-2.773 -0.163 -1.304 0.763 -2.680 -1.287 -3.230 -4.485 7.427" Properties=species:S:1:pos:R:3 pbc="T T T"
Cu -1.005 -1.421 -1.295
Cl -1.091 -1.515 2.509
Cl -2.139 -2.970 4.918
Mg -2.620 -3.664 2.418
```

Values from the calculation:
**Magnetic moment**: 0.000 μB per atom
**Calculated density**: 3.02 Mg/m³

Short version: *P* is the least stable of them.